1.
Here is a relaxed Cd2NiAu crystal from the Alexandria database. Energies are from PBE-GGA.

Calculated values
Uncorrected energy in eV per atom: -2.718
ΔE to the lowest computed polymorph in kJ/mol of atoms: 2.7
Formation energy from the elements in meV/atom: 4

a = 3.097 Å, b = 3.237 Å, c = 7.098 Å
α = 90.00°, β = 90.00°, γ = 90.00°
Positions (direct):
Ni (0.000, 0.000, 0.510)
Cd (0.500, 0.500, 0.292)
Cd (0.000, 0.000, 0.982)
Au (0.500, 0.500, 0.717)

***

2.
Here is a relaxed Cd2NiAu crystal from the Alexandria database. Energies are from PBE-GGA.

Calculated values
Uncorrected energy in eV per atom: -2.719
ΔE to the lowest computed polymorph in kJ/mol of atoms: 2.6
Formation energy from the elements in meV/atom: 3

a = 4.349 Å, b = 3.071 Å, c = 5.607 Å
α = 73.69°, β = 90.00°, γ = 90.00°
Positions (direct):
Cd (0.000, 0.956, 0.964)
Cd (0.500, 0.288, 0.301)
Au (0.500, 0.560, 0.757)
Ni (0.000, 0.696, 0.477)

***

3.
Here is a relaxed CdNi2Au crystal from the Alexandria database. Energies are from PBE-GGA.

Calculated values
Uncorrected energy in eV per atom: -3.900
Formation energy from the elements in meV/atom: 39

a = 3.012 Å, b = 3.007 Å, c = 6.623 Å
α = 90.00°, β = 90.00°, γ = 90.00°
Site moments in Bohr magnetons follow the coordinates.
Positions (direct):
Ni (0.000, 0.000, 0.040)  0.33
Ni (0.500, 0.500, 0.217)  0.43
Au (0.000, 0.000, 0.464)  0.00
Cd (0.500, 0.500, 0.779)  -0.01

***

4.
Here is a relaxed CdNi2Au crystal from the Alexandria database. Energies are from PBE-GGA.

Calculated values
Uncorrected energy in eV per atom: -3.803
Formation energy from the elements in meV/atom: 136

a = 4.401 Å, b = 4.401 Å, c = 4.401 Å
α = 60.00°, β = 60.00°, γ = 60.00°
Positions (direct):
Ni (0.000, 0.000, 0.000)
Ni (0.750, 0.750, 0.750)
Au (0.500, 0.500, 0.500)
Cd (0.250, 0.250, 0.250)

***

5.
Here is a relaxed CdNi2Au crystal from the Alexandria database. Energies are from PBE-GGA.

Calculated values
Uncorrected energy in eV per atom: -3.871
Formation energy from the elements in meV/atom: 68

a = 2.940 Å, b = 3.472 Å, c = 5.828 Å
α = 90.00°, β = 90.00°, γ = 90.00°
Positions (direct):
Ni (0.000, 0.000, 0.491)
Ni (0.000, 0.000, 0.009)
Au (0.500, 0.500, 0.250)
Cd (0.500, 0.500, 0.750)

***

6.
Here is a relaxed Cd2NiAu crystal from the Alexandria database. Energies are from PBE-GGA.

Calculated values
Uncorrected energy in eV per atom: -2.736
ΔE to the lowest computed polymorph in kJ/mol of atoms: 1.0
Formation energy from the elements in meV/atom: -14

a = 5.421 Å, b = 5.421 Å, c = 4.859 Å
α = 71.51°, β = 71.51°, γ = 31.96°
Positions (direct):
Au (0.221, 0.221, 0.231)
Cd (0.779, 0.779, 0.686)
Cd (0.987, 0.987, 0.041)
Ni (0.513, 0.513, 0.542)

***

- The lowest formation energy from the elements belongs to which entry?
  number 6